# 1
NaHo2IrO6 after structural relaxation. Source: OQMD, functional PBE-GGA.

POSCAR file:
```
NaHo2IrO6
1.0
5.359 0.000 0.000
0.000 5.792 0.000
-5.125 0.000 7.776
Na Ho Ir O
2 4 2 12
Direct
0.000 0.000 0.000
0.000 0.500 0.500
0.216 0.077 0.743
0.216 0.423 0.243
0.784 0.577 0.757
0.784 0.923 0.257
0.500 0.000 0.500
0.500 0.500 0.000
0.137 0.174 0.441
0.137 0.326 0.941
0.259 0.713 0.418
0.259 0.787 0.918
0.412 0.067 0.267
0.412 0.433 0.767
0.588 0.567 0.233
0.588 0.933 0.733
0.741 0.213 0.082
0.741 0.287 0.582
0.863 0.674 0.059
0.863 0.826 0.559
```

Calculated values
Calculated total energy: -7.18 eV/atom
Mass density: 8.8 g cm⁻³


# 2
NdHoIr after structural relaxation. Source: OQMD, functional PBE-GGA.

POSCAR file:
```
NdHoIr
1.0
0.000 3.355 3.355
3.355 0.000 3.355
3.355 3.355 0.000
Nd Ho Ir
1 1 1
Direct
0.000 0.000 0.000
0.750 0.750 0.750
0.500 0.500 0.500
```

Calculated values
Offset from the most stable computed form: 0 meV/atom
Calculated total energy: -5.92 eV/atom
Mass density: 11.0 g cm⁻³
Energy of formation: 3.3 kcal/mol of atoms


Question: What is the mass density in the first record?
Answer: 8.8 g cm⁻³